(1)
Compound: Pu2MgTe3
Source: Alexandria via LeMat-Bulk
Functional: GGA-PBE
Structure: relaxed

```
Pu2MgTe3
1.0
-2.2006 2.2006 9.3572
2.2006 -2.2006 9.3572
2.2006 2.2006 -9.3572
Pu Mg Te
2 1 3
direct
0.1701 0.1701 0.0000
0.8299 0.8299 0.0000
0.5000 0.5000 0.0000
0.0000 0.0000 0.0000
0.3393 0.3393 0.0000
0.6607 0.6607 0.0000
```

Computed properties:
The theoretical density comes out at 8200 kg/m³. Its crystal system is tetragonal. The value obtained for the formation energy (no corrections) is -929.6 meV/atom. The energy comes out at -45.26 eV/cell.

(2)
Compound: LiCdTc2
Source: Alexandria via LeMat-Bulk
Functional: GGA-PBE
Structure: relaxed

```
LiCdTc2
1.0
4.3500 -1.3697 0.0000
4.3500 1.3697 0.0000
-0.4310 0.0000 5.2829
Li Cd Tc
1 1 2
direct
0.0000 0.0000 0.0000
0.7515 0.7515 0.2127
0.2458 0.2458 0.7166
0.4919 0.4919 0.5388
```

Computed properties:
The theoretical density comes out at 8318 kg/m³. Its energy relative to the elements is 241 meV/atom. Its crystal system is monoclinic. The energy comes out at -22.60 eV/cell.

(3)
Compound: Zr2CuReB
Source: Alexandria via LeMat-Bulk
Functional: GGA-PBE
Structure: relaxed

```
Zr2CuReB
1.0
4.6404 0.0000 0.0000
0.0000 4.6404 0.0000
0.0000 0.0000 4.0048
Zr Cu Re B
2 1 1 1
direct
0.0000 0.5000 0.0000
0.5000 0.0000 0.0000
0.0000 0.0000 0.5000
0.5000 0.5000 0.5000
0.5000 0.5000 0.0000
```

Computed properties:
The theoretical density comes out at 8530 kg/m³. Its energy relative to the elements is -45 meV/atom. Its crystal system is tetragonal. The energy comes out at -40.54 eV/cell.

(4)
Compound: CoOsS2
Source: Alexandria via LeMat-Bulk
Functional: GGA-PBE
Structure: relaxed

```
CoOsS2
1.0
1.6023 0.9251 7.2730
-1.6023 0.9251 7.2730
0.0000 -1.8502 7.2730
Co Os S
1 1 2
direct
0.0000 0.0000 0.0000
0.5000 0.5000 0.5000
0.0972 0.0972 0.0972
0.9028 0.9028 0.9028
```

Computed properties:
The theoretical density comes out at 8042 kg/m³. Its crystal system is trigonal. The value obtained for the formation energy (no corrections) is 284.4 meV/atom. The energy comes out at -25.45 eV/cell.

(5)
Compound: SrLaHf3
Source: Alexandria via LeMat-Bulk
Functional: GGA-PBE
Structure: relaxed

```
SrLaHf3
1.0
5.3520 0.0000 0.0000
0.0000 5.3520 0.0000
0.0000 0.0000 5.3520
Sr La Hf
1 1 3
direct
0.0000 0.0000 0.0000
0.5000 0.5000 0.5000
0.0000 0.5000 0.5000
0.5000 0.0000 0.5000
0.5000 0.5000 0.0000
```

Computed properties:
The theoretical density comes out at 8254 kg/m³. Its energy relative to the elements is 1209 meV/atom. Its crystal system is cubic. The energy comes out at -30.43 eV/cell.

(6)
Compound: Pa6Al2Zn
Source: Alexandria via LeMat-Bulk
Functional: GGA-PBE
Structure: relaxed

```
Pa6Al2Zn
1.0
8.6014 0.0000 0.0000
-4.3007 7.4491 0.0000
0.0000 0.0000 3.1701
Pa Al Zn
6 2 1
direct
0.0000 0.2896 0.0000
0.0000 0.6254 0.5000
0.2896 0.0000 0.0000
0.3746 0.3746 0.5000
0.6254 0.0000 0.5000
0.7104 0.7104 0.0000
0.3333 0.6667 0.0000
0.6667 0.3333 0.0000
0.0000 0.0000 0.5000
```

Computed properties:
The theoretical density comes out at 12309 kg/m³. Its energy relative to the elements is -41 meV/atom. Its crystal system is hexagonal. The energy comes out at -66.11 eV/cell.